No. 1
The following is a PBE calculation of a relaxed structure of NiRhC2, from the Alexandria database.

Summary:
ρ: 8.467 g/cm3
energy of formation: 1.491 eV per atom
space-group type: Fm-3m (225)
total energy: -25.62 eV/cell

The structure in POSCAR format:
```
NiRhC2
1.0
0.000 2.630 2.630
2.630 0.000 2.630
2.630 2.630 0.000
Ni C Rh
1 2 1
direct
0.000 0.000 0.000 Ni
0.250 0.250 0.250 C
0.750 0.750 0.750 C
0.500 0.500 0.500 Rh
```

---

No. 2
The following is a PBE calculation of a relaxed structure of NiRh2C, from the Alexandria database.

Summary:
ρ: 9.327 g/cm3
energy of formation: 0.350 eV per atom
space-group type: I-42d (122)
total energy: -56.62 eV/cell

The structure in POSCAR format:
```
NiRh2C
1.0
-0.043 6.184 -2.038
-5.837 -0.940 -2.729
-3.969 3.267 -0.404
Ni C Rh
2 2 4
direct
0.000 0.000 0.000 Ni
0.750 0.250 0.500 Ni
0.500 0.500 0.000 C
0.250 0.750 0.500 C
0.523 0.125 0.250 Rh
0.227 0.625 0.250 Rh
0.375 0.477 0.750 Rh
0.875 0.773 0.750 Rh
```

---

No. 3
The following is a PBE calculation of a relaxed structure of Ni2RhC, from the Alexandria database.

Summary:
ρ: 8.892 g/cm3
energy of formation: 0.354 eV per atom
space-group type: I-42d (122)
total energy: -53.44 eV/cell

The structure in POSCAR format:
```
Ni2RhC
1.0
6.285 0.000 0.000
0.000 6.285 0.000
3.142 3.142 2.197
Ni C Rh
4 2 2
direct
0.527 0.125 0.250 Ni
0.223 0.625 0.250 Ni
0.375 0.473 0.750 Ni
0.875 0.777 0.750 Ni
0.500 0.500 0.000 C
0.250 0.750 0.500 C
0.000 0.000 0.000 Rh
0.750 0.250 0.500 Rh
```

---

No. 4
The following is a PBE calculation of a relaxed structure of NiRhC2, from the Alexandria database.

Summary:
ρ: 6.871 g/cm3
energy of formation: 0.745 eV per atom
space-group type: I-42d (122)
total energy: -57.20 eV/cell

The structure in POSCAR format:
```
NiRhC2
1.0
4.472 0.000 0.000
0.000 4.472 0.000
2.236 2.236 4.486
Ni C Rh
2 4 2
direct
0.500 0.500 0.000 Ni
0.250 0.750 0.500 Ni
0.611 0.125 0.250 C
0.139 0.625 0.250 C
0.375 0.389 0.750 C
0.875 0.861 0.750 C
0.000 0.000 0.000 Rh
0.750 0.250 0.500 Rh
```

---

No. 5
The following is a PBE calculation of a relaxed structure of ScNiRh2C, from the Alexandria database.

Summary:
ρ: 8.129 g/cm3
energy of formation: -0.396 eV per atom
space-group type: P4/mmm (123)
total energy: -38.02 eV/cell

The structure in POSCAR format:
```
ScNiRh2C
1.0
4.106 0.000 0.000
0.000 4.106 0.000
0.000 0.000 3.895
Sc Ni C Rh
1 1 1 2
direct
0.500 0.500 0.500 Sc
0.000 0.000 0.500 Ni
0.000 0.000 0.000 C
0.000 0.500 0.000 Rh
0.500 0.000 0.000 Rh
```

---

No. 6
The following is a PBE calculation of a relaxed structure of SrNi2RhC, from the Alexandria database.

Summary:
ρ: 5.508 g/cm3
energy of formation: 2.619 eV per atom
space-group type: P4/mmm (123)
total energy: -16.73 eV/cell

The structure in POSCAR format:
```
SrNi2RhC
1.0
-1.738 -4.258 -0.901
4.073 -1.545 -0.551
0.218 -1.054 4.562
Sr C Rh Ni
1 1 1 2
direct
0.000 0.000 0.000 Sr
0.000 0.500 0.000 C
0.500 0.500 0.500 Rh
0.000 0.000 0.500 Ni
0.500 0.000 0.000 Ni
```

---

No. 7
The following is a PBE calculation of a relaxed structure of TaNiRh2C, from the Alexandria database.

Summary:
ρ: 10.295 g/cm3
energy of formation: 0.941 eV per atom
space-group type: P4/mmm (123)
total energy: -36.85 eV/cell

The structure in POSCAR format:
```
TaNiRh2C
1.0
4.691 0.000 0.000
0.000 3.353 0.000
0.000 0.000 4.691
Ni C Rh Ta
1 1 2 1
direct
0.000 0.000 0.000 Ni
0.000 0.500 0.000 C
0.000 0.000 0.500 Rh
0.500 0.000 0.000 Rh
0.500 0.500 0.500 Ta
```

---

No. 8
The following is a PBE calculation of a relaxed structure of TaNiRh2C, from the Alexandria database.

Summary:
ρ: 11.263 g/cm3
energy of formation: 0.030 eV per atom
space-group type: P4/mmm (123)
total energy: -41.41 eV/cell

The structure in POSCAR format:
```
TaNiRh2C
1.0
3.989 0.000 0.000
0.000 4.239 0.000
0.000 0.000 3.989
Ni C Rh Ta
1 1 2 1
direct
0.500 0.500 0.500 Ni
0.000 0.000 0.000 C
0.000 0.000 0.500 Rh
0.500 0.000 0.000 Rh
0.000 0.500 0.000 Ta
```

---

No. 9
The following is a PBE calculation of a relaxed structure of TiNi2RhC, from the Alexandria database.

Summary:
ρ: 7.908 g/cm3
energy of formation: -0.184 eV per atom
space-group type: P4/mmm (123)
total energy: -36.95 eV/cell

The structure in POSCAR format:
```
TiNi2RhC
1.0
3.744 0.000 0.000
0.000 4.196 0.000
0.000 0.000 3.744
Ni C Rh Ti
2 1 1 1
direct
0.000 0.000 0.500 Ni
0.500 0.000 0.000 Ni
0.000 0.000 0.000 C
0.500 0.500 0.500 Rh
0.000 0.500 0.000 Ti
```

---

No. 10
The following is a PBE calculation of a relaxed structure of V2NiRhC, from the Alexandria database.

Summary:
ρ: 7.751 g/cm3
energy of formation: -0.184 eV per atom
space-group type: P4/mmm (123)
total energy: -41.51 eV/cell

The structure in POSCAR format:
```
V2NiRhC
1.0
3.973 0.000 0.000
0.000 3.973 0.000
0.000 0.000 3.739
Ni C Rh V
1 1 1 2
direct
0.000 0.000 0.500 Ni
0.000 0.000 0.000 C
0.500 0.500 0.500 Rh
0.000 0.500 0.000 V
0.500 0.000 0.000 V
```

---

No. 11
The following is a PBE calculation of a relaxed structure of NiRhW2C, from the Alexandria database.

Summary:
ρ: 10.512 g/cm3
energy of formation: 2.156 eV per atom
space-group type: P4/mmm (123)
total energy: -37.48 eV/cell

The structure in POSCAR format:
```
NiRhW2C
1.0
4.833 0.000 0.000
0.000 3.661 0.000
0.000 0.000 4.833
Ni C Rh W
1 1 1 2
direct
0.500 0.500 0.500 Ni
0.000 0.500 0.000 C
0.000 0.000 0.000 Rh
0.000 0.000 0.500 W
0.500 0.000 0.000 W
```

---

No. 12
The following is a PBE calculation of a relaxed structure of NiRhW2C, from the Alexandria database.

Summary:
ρ: 12.268 g/cm3
energy of formation: 1.491 eV per atom
space-group type: P4/mmm (123)
total energy: -40.81 eV/cell

The structure in POSCAR format:
```
NiRhW2C
1.0
-0.524 -3.697 2.848
1.342 -1.972 -2.313
4.264 0.785 1.804
Ni C Rh W
1 1 1 2
direct
0.000 0.000 0.000 Ni
0.000 0.500 0.000 C
0.500 0.500 0.500 Rh
0.000 0.000 0.500 W
0.500 0.000 0.000 W
```

---

Number 1: density of states at the Fermi level 5.092 states/eV per cell. Number 2: density of states at the Fermi level 3.427 states/eV per cell. Number 3: density of states at the Fermi level 7.438 states/eV per cell. Number 4: density of states at the Fermi level 3.735 states/eV per cell. Number 5: density of states at the Fermi level 3.440 states/eV per cell. Number 6: density of states at the Fermi level 9.816 states/eV per cell. Number 7: density of states at the Fermi level 3.699 states/eV per cell. Number 8: density of states at the Fermi level 3.822 states/eV per cell. Number 9: density of states at the Fermi level 4.981 states/eV per cell. Number 10: density of states at the Fermi level 5.183 states/eV per cell. Number 11: density of states at the Fermi level 7.584 states/eV per cell. Number 12: density of states at the Fermi level 8.147 states/eV per cell.